# Mg2BeSi3Ir4

A relaxed Mg2BeSi3Ir4 crystal (PBE, Alexandria).

Cell: 3.942 3.942 10.085 Å, 90.00 90.00 90.00°
Sites, in units of the cell vectors:
Mg  0.000  0.500  0.243
Mg  0.500  0.000  0.757
Be  0.500  0.500  0.000
Si  0.000  0.000  0.000
Si  0.000  0.500  0.632
Si  0.500  0.000  0.368
Ir  0.000  0.000  0.500
Ir  0.000  0.500  0.865
Ir  0.500  0.000  0.135
Ir  0.500  0.500  0.500

- DOS at the Fermi energy: 4.132 states/eV/f.u.
- E_form (uncorrected): -0.60 eV/atom

# FePbCl5

A relaxed FePbCl5 crystal (PBE, Alexandria).

Cell: 7.350 7.350 10.606 Å, 111.83 111.83 85.09°
Sites, in units of the cell vectors:
Fe  0.090  0.910  0.750
Fe  0.910  0.090  0.250
Pb  0.500  0.500  0.000
Pb  0.500  0.500  0.500
Cl  0.141  0.231  0.820
Cl  0.178  0.753  0.561
Cl  0.231  0.141  0.320
Cl  0.247  0.822  0.939
Cl  0.410  0.590  0.250
Cl  0.590  0.410  0.750
Cl  0.753  0.178  0.061
Cl  0.769  0.859  0.680
Cl  0.822  0.247  0.439
Cl  0.859  0.769  0.180

- E_form (uncorrected): -0.91 eV/atom

# NdSi3Pd9

A relaxed NdSi3Pd9 crystal (PBE, Alexandria).

Cell: 7.063 7.063 6.395 Å, 96.65 96.65 136.64°
Sites, in units of the cell vectors:
Nd  0.000  0.000  0.000
Si  0.000  0.500  0.000
Si  0.500  0.000  0.000
Si  0.500  0.500  0.500
Pd  0.000  0.000  0.500
Pd  0.066  0.701  0.683
Pd  0.299  0.934  0.317
Pd  0.314  0.535  0.774
Pd  0.465  0.686  0.226
Pd  0.535  0.314  0.774
Pd  0.686  0.465  0.226
Pd  0.701  0.066  0.683
Pd  0.934  0.299  0.317

- DOS at the Fermi energy: 6.571 states/eV/f.u.
- E_form (uncorrected): -0.63 eV/atom

- Among the records above, which one has the highest E_form (uncorrected)?
  Mg2BeSi3Ir4